Entry 1:
# YThNb4

Crystalline YThNb4 at its relaxed geometry (PBE-GGA, the Alexandria database).

Results
* DFT total energy: -8.935 eV/atom
* magnetic moment: 0.000 μB/f.u.
* DOS(E_F): 4.52 states/eV/cell
* energy relative to the elements: 0.092 eV per atom

Cell lengths 5.750, 5.750, 5.750 Å; angles 60.00, 60.00, 60.00 degrees
Atoms (fractional coordinates):
Y1 0.000 0.000 0.000
Th1 0.250 0.250 0.250
Nb1 0.124 0.625 0.625
Nb2 0.625 0.124 0.625
Nb3 0.625 0.625 0.124
Nb4 0.625 0.625 0.625

=====

Entry 2:
# YThNb

Crystalline YThNb at its relaxed geometry (PBE-GGA, the Alexandria database).

Results
* DFT total energy: -7.768 eV/atom
* magnetic moment: 0.000 μB/f.u.
* DOS(E_F): 7.36 states/eV/cell
* energy relative to the elements: 0.217 eV per atom

Cell lengths 6.600, 6.600, 5.351 Å; angles 91.98, 91.98, 44.64 degrees
Atoms (fractional coordinates):
Y1 0.093 0.093 0.266
Y2 0.907 0.907 0.734
Th1 0.387 0.387 0.274
Th2 0.613 0.613 0.726
Nb1 0.236 0.236 0.805
Nb2 0.764 0.764 0.195

=====

Entry 3:
# Th2NbZn

Crystalline Th2NbZn at its relaxed geometry (PBE-GGA, the Alexandria database).

Results
* DFT total energy: -6.471 eV/atom
* magnetic moment: 0.000 μB/f.u.
* DOS(E_F): 5.94 states/eV/cell
* relative energy among the computed polymorphs: 0.0 meV per atom
* energy relative to the elements: 0.075 eV per atom

Cell lengths 5.137, 5.137, 3.759 Å; angles 90.00, 90.00, 90.00 degrees
Atoms (fractional coordinates):
Th1 0.000 0.500 0.000
Th2 0.500 0.000 0.000
Nb1 0.000 0.000 0.500
Zn1 0.500 0.500 0.500

=====

Entry 4:
# ThNbZn

Crystalline ThNbZn at its relaxed geometry (PBE-GGA, the Alexandria database).

Results
* DFT total energy: -6.145 eV/atom
* magnetic moment: 0.000 μB/f.u.
* DOS(E_F): 6.20 states/eV/cell
* energy relative to the elements: 0.109 eV per atom

Cell lengths 8.527, 8.527, 4.488 Å; angles 90.00, 90.00, 155.79 degrees
Atoms (fractional coordinates):
Th1 0.116 0.884 0.750
Th2 0.884 0.116 0.250
Nb1 0.281 0.719 0.750
Nb2 0.719 0.281 0.250
Zn1 0.456 0.544 0.750
Zn2 0.544 0.456 0.250

=====

Entry 5:
# Th2NbZn

Crystalline Th2NbZn at its relaxed geometry (PBE-GGA, the Alexandria database).

Results
* DFT total energy: -6.045 eV/atom
* magnetic moment: 0.000 μB/f.u.
* DOS(E_F): 5.91 states/eV/cell
* relative energy among the computed polymorphs: 426.5 meV per atom
* energy relative to the elements: 0.501 eV per atom

Cell lengths 11.323, 11.323, 11.323 Å; angles 16.57, 16.57, 16.57 degrees
Atoms (fractional coordinates):
Th1 0.088 0.088 0.088
Th2 0.912 0.912 0.912
Nb1 0.000 0.000 0.000
Zn1 0.500 0.500 0.500

=====

Entry 6:
# ThZrNbZn

Crystalline ThZrNbZn at its relaxed geometry (PBE-GGA, the Alexandria database).

Results
* DFT total energy: -6.784 eV/atom
* magnetic moment: 0.000 μB/f.u.
* DOS(E_F): 5.12 states/eV/cell
* energy relative to the elements: 0.043 eV per atom

Cell lengths 5.006, 5.006, 5.006 Å; angles 60.00, 60.00, 60.00 degrees
Atoms (fractional coordinates):
Th1 0.000 0.000 0.000
Zr1 0.500 0.500 0.500
Nb1 0.250 0.250 0.250
Zn1 0.750 0.750 0.750

=====

Entry 7:
# ThZr2Nb

Crystalline ThZr2Nb at its relaxed geometry (PBE-GGA, the Alexandria database).

Results
* DFT total energy: -8.311 eV/atom
* magnetic moment: 0.000 μB/f.u.
* DOS(E_F): 5.95 states/eV/cell
* relative energy among the computed polymorphs: 253.7 meV per atom
* energy relative to the elements: 0.335 eV per atom

Cell lengths 11.145, 11.145, 11.145 Å; angles 16.58, 16.58, 16.58 degrees
Atoms (fractional coordinates):
Th1 0.000 0.000 0.000
Zr1 0.096 0.096 0.096
Zr2 0.904 0.904 0.904
Nb1 0.500 0.500 0.500

=====

Entry 8:
# ThZr2Nb

Crystalline ThZr2Nb at its relaxed geometry (PBE-GGA, the Alexandria database).

Results
* DFT total energy: -8.489 eV/atom
* magnetic moment: 0.000 μB/f.u.
* DOS(E_F): 6.35 states/eV/cell
* relative energy among the computed polymorphs: 75.5 meV per atom
* energy relative to the elements: 0.157 eV per atom

Cell lengths 5.087, 5.087, 5.087 Å; angles 60.00, 60.00, 60.00 degrees
Atoms (fractional coordinates):
Th1 0.000 0.000 0.000
Zr1 0.250 0.250 0.250
Zr2 0.750 0.750 0.750
Nb1 0.500 0.500 0.500

=====

Entry 9:
# ThZrNb

Crystalline ThZrNb at its relaxed geometry (PBE-GGA, the Alexandria database).

Results
* DFT total energy: -8.524 eV/atom
* magnetic moment: 0.000 μB/f.u.
* DOS(E_F): 4.82 states/eV/cell
* relative energy among the computed polymorphs: 100.3 meV per atom
* energy relative to the elements: 0.155 eV per atom

Cell lengths 5.998, 5.998, 5.998 Å; angles 145.06, 145.06, 50.25 degrees
Atoms (fractional coordinates):
Th1 0.000 0.000 0.000
Zr1 0.315 0.315 0.000
Nb1 0.658 0.658 0.000

=====

Entry 10:
# Th2ZrNb

Crystalline Th2ZrNb at its relaxed geometry (PBE-GGA, the Alexandria database).

Results
* DFT total energy: -7.818 eV/atom
* magnetic moment: 0.000 μB/f.u.
* DOS(E_F): 6.84 states/eV/cell
* energy relative to the elements: 0.546 eV per atom

Cell lengths 11.778, 11.778, 11.778 Å; angles 15.89, 15.89, 15.89 degrees
Atoms (fractional coordinates):
Th1 0.084 0.084 0.084
Th2 0.916 0.916 0.916
Zr1 0.500 0.500 0.500
Nb1 0.000 0.000 0.000

=====

Entry 11:
# ThZrNb4

Crystalline ThZrNb4 at its relaxed geometry (PBE-GGA, the Alexandria database).

Results
* DFT total energy: -9.337 eV/atom
* magnetic moment: 0.000 μB/f.u.
* DOS(E_F): 6.68 states/eV/cell
* energy relative to the elements: 0.038 eV per atom

Cell lengths 5.672, 5.672, 5.672 Å; angles 60.00, 60.00, 60.00 degrees
Atoms (fractional coordinates):
Th1 0.000 0.000 0.000
Zr1 0.250 0.250 0.250
Nb1 0.125 0.625 0.625
Nb2 0.625 0.125 0.625
Nb3 0.625 0.625 0.125
Nb4 0.625 0.625 0.625

=====

Entry 12:
# ThZr2Nb

Crystalline ThZr2Nb at its relaxed geometry (PBE-GGA, the Alexandria database).

Results
* DFT total energy: -8.565 eV/atom
* magnetic moment: 0.000 μB/f.u.
* DOS(E_F): 5.08 states/eV/cell
* relative energy among the computed polymorphs: 0.0 meV per atom
* energy relative to the elements: 0.081 eV per atom

Cell lengths 3.513, 3.513, 7.791 Å; angles 90.00, 90.00, 90.00 degrees
Atoms (fractional coordinates):
Th1 0.000 0.000 0.000
Zr1 0.500 0.500 0.293
Zr2 0.500 0.500 0.707
Nb1 0.000 0.000 0.500

=====

Entry 13:
# ThZrNb

Crystalline ThZrNb at its relaxed geometry (PBE-GGA, the Alexandria database).

Results
* DFT total energy: -8.625 eV/atom
* magnetic moment: 0.000 μB/f.u.
* DOS(E_F): 7.70 states/eV/cell
* relative energy among the computed polymorphs: 0.0 meV per atom
* energy relative to the elements: 0.055 eV per atom

Cell lengths 3.415, 3.415, 12.515 Å; angles 90.00, 90.00, 90.00 degrees
Atoms (fractional coordinates):
Th1 0.250 0.250 0.106
Th2 0.750 0.750 0.894
Zr1 0.250 0.250 0.703
Zr2 0.750 0.750 0.297
Nb1 0.250 0.250 0.442
Nb2 0.750 0.750 0.558

=====

Entry 14:
# Ti4Nb

Crystalline Ti4Nb at its relaxed geometry (PBE-GGA, the Alexandria database).

Results
* DFT total energy: -7.367 eV/atom
* magnetic moment: 0.002 μB/f.u.
* DOS(E_F): 8.81 states/eV/cell
* relative energy among the computed polymorphs: 804.6 meV per atom
* energy relative to the elements: 0.963 eV per atom

Cell lengths 4.729, 4.729, 4.729 Å; angles 90.00, 90.00, 90.00 degrees
Atoms (fractional coordinates):
Ti1 0.000 0.000 0.000
Ti2 0.000 0.500 0.500
Ti3 0.500 0.000 0.500
Ti4 0.500 0.500 0.000
Nb1 0.500 0.500 0.500

=====

Entry 15:
# Ti2Nb

Crystalline Ti2Nb at its relaxed geometry (PBE-GGA, the Alexandria database).

Results
* DFT total energy: -8.464 eV/atom
* magnetic moment: 0.000 μB/f.u.
* DOS(E_F): 18.88 states/eV/cell
* energy relative to the elements: 0.156 eV per atom

Cell lengths 9.575, 2.782, 8.046 Å; angles 90.00, 90.00, 90.00 degrees
Atoms (fractional coordinates):
Ti1 0.119 0.250 0.095
Ti2 0.123 0.250 0.735
Ti3 0.377 0.750 0.235
Ti4 0.381 0.750 0.595
Ti5 0.619 0.250 0.405
Ti6 0.623 0.250 0.765
Ti7 0.877 0.750 0.265
Ti8 0.881 0.750 0.905
Nb1 0.127 0.750 0.412
Nb2 0.373 0.250 0.912
Nb3 0.627 0.750 0.088
Nb4 0.873 0.250 0.588

=====

Entry 16:
# TiNb5

Crystalline TiNb5 at its relaxed geometry (PBE-GGA, the Alexandria database).

Results
* DFT total energy: -9.711 eV/atom
* magnetic moment: 0.001 μB/f.u.
* DOS(E_F): 11.51 states/eV/cell
* relative energy among the computed polymorphs: 1.5 meV per atom
* energy relative to the elements: -0.004 eV per atom

Cell lengths 5.474, 5.474, 5.803 Å; angles 121.94, 121.94, 50.07 degrees
Atoms (fractional coordinates):
Ti1 0.000 0.000 0.000
Nb1 0.000 0.000 0.500
Nb2 0.329 0.329 0.003
Nb3 0.337 0.337 0.513
Nb4 0.663 0.663 0.487
Nb5 0.671 0.671 0.997

=====

Entry 17:
# Ti6Nb5

Crystalline Ti6Nb5 at its relaxed geometry (PBE-GGA, the Alexandria database).

Results
* DFT total energy: -8.740 eV/atom
* magnetic moment: 0.002 μB/f.u.
* DOS(E_F): 15.58 states/eV/cell
* energy relative to the elements: 0.144 eV per atom

Cell lengths 7.426, 7.426, 4.575 Å; angles 107.15, 107.15, 112.24 degrees
Atoms (fractional coordinates):
Ti1 0.055 0.331 0.673
Ti2 0.189 0.189 0.161
Ti3 0.331 0.055 0.673
Ti4 0.669 0.945 0.327
Ti5 0.811 0.811 0.839
Ti6 0.945 0.669 0.327
Nb1 0.217 0.783 0.000
Nb2 0.357 0.643 0.500
Nb3 0.500 0.500 0.000
Nb4 0.643 0.357 0.500
Nb5 0.783 0.217 0.000

=====

Entry 18:
# Ti3Nb

Crystalline Ti3Nb at its relaxed geometry (PBE-GGA, the Alexandria database).

Results
* DFT total energy: -8.365 eV/atom
* magnetic moment: 0.000 μB/f.u.
* DOS(E_F): 5.15 states/eV/cell
* energy relative to the elements: 0.074 eV per atom

Cell lengths 4.124, 4.124, 4.124 Å; angles 90.00, 90.00, 90.00 degrees
Atoms (fractional coordinates):
Ti1 0.000 0.000 0.500
Ti2 0.000 0.500 0.000
Ti3 0.500 0.000 0.000
Nb1 0.500 0.500 0.500

=====

Entry 19:
# Ti3Nb

Crystalline Ti3Nb at its relaxed geometry (PBE-GGA, the Alexandria database).

Results
* DFT total energy: -8.364 eV/atom
* magnetic moment: 0.001 μB/f.u.
* DOS(E_F): 6.67 states/eV/cell
* energy relative to the elements: 0.075 eV per atom

Cell lengths 5.241, 5.241, 5.241 Å; angles 135.40, 135.40, 64.90 degrees
Atoms (fractional coordinates):
Ti1 0.000 0.000 0.000
Ti2 0.250 0.750 0.500
Ti3 0.750 0.250 0.500
Nb1 0.500 0.500 0.000

=====

Entry 20:
# Ti2Nb

Crystalline Ti2Nb at its relaxed geometry (PBE-GGA, the Alexandria database).

Results
* DFT total energy: -8.552 eV/atom
* magnetic moment: 0.000 μB/f.u.
* DOS(E_F): 7.85 states/eV/cell
* energy relative to the elements: 0.067 eV per atom

Cell lengths 5.563, 5.563, 7.195 Å; angles 101.99, 101.99, 29.16 degrees
Atoms (fractional coordinates):
Ti1 0.037 0.037 0.316
Ti2 0.372 0.372 0.992
Ti3 0.628 0.628 0.008
Ti4 0.963 0.963 0.684
Nb1 0.294 0.294 0.333
Nb2 0.706 0.706 0.667